! BaDy2Al | Alexandria via LeMat-Bulk | GGA-PBE | relaxed; values from VASP
&SYSTEM
  ibrav = 0, nat = 4, ntyp = 3
/
ATOMIC_SPECIES
Al 26.98 Al.upf
Ba 137.33 Ba.upf
Dy 162.50 Dy.upf
CELL_PARAMETERS angstrom
3.640 0.000 0.000
1.820 3.152 0.000
1.820 1.051 11.718
ATOMIC_POSITIONS crystal
Al 0.500 0.500 0.500
Ba 0.000 0.000 0.000
Dy 0.105 0.105 0.685
Dy 0.895 0.895 0.315
! calculated volume	33.61	Å³ per atom
! energy above the most stable polymorph in this dataset	0.76	eV per formula unit
! calculated formation energy	0.5	eV/f.u.
! electronic total energy	-14.4	eV for the cell shown